(1)
This record from Alexandria via LeMat-Bulk describes crystalline La3AlO at its relaxed geometry. The functional is PBE.

abc: 4.028 4.028 20.905
angles: 90.00 90.00 120.00
Each line ends with the local moment (μB).
Sites, in units of the cell vectors:
Al1 0.000 0.000 0.000  0.00
Al2 0.000 0.000 0.500  0.00
O1 0.333 0.667 0.750  0.01
O2 0.667 0.333 0.250  0.01
La1 0.000 0.000 0.250  0.06
La2 0.000 0.000 0.750  0.06
La3 0.333 0.667 0.896  0.04
La4 0.333 0.667 0.604  0.04
La5 0.667 0.333 0.396  0.04
La6 0.667 0.333 0.104  0.04

Final energy: -58.136 eV per cell
Symmetry: P6_3/mmc
Density of states at the Fermi level: 0.939 states/eV per atom

(2)
This record from Alexandria via LeMat-Bulk describes crystalline La4Al2O9 at its relaxed geometry. The functional is PBE.

abc: 5.582 6.414 7.522
angles: 89.92 94.32 90.54
Sites, in units of the cell vectors:
La1 0.151 0.853 0.705
La2 0.141 0.681 0.222
La3 0.730 0.415 0.877
La4 0.694 0.170 0.367
Al1 0.217 0.335 0.662
Al2 0.226 0.212 0.088
O1 0.128 0.199 0.858
O2 0.927 0.398 0.573
O3 0.392 0.564 0.704
O4 0.360 0.979 0.166
O5 0.416 0.143 0.593
O6 0.447 0.410 0.138
O7 0.945 0.881 0.432
O8 0.959 0.318 0.164
O9 0.944 0.707 0.941

Excess energy over the best structure of this formula in the dataset: 0.1753 eV per atom
Final energy: -119.839 eV per cell
Symmetry: P1
Density of states at the Fermi level: 0.000 states/eV per atom

(3)
This record from Alexandria via LeMat-Bulk describes crystalline La3AlO at its relaxed geometry. The functional is PBE.

abc: 22.441 6.823 8.975
angles: 90.00 157.54 90.00
Sites, in units of the cell vectors:
Al1 0.409 0.751 0.411
Al2 0.591 0.249 0.589
Al3 0.091 0.251 0.089
Al4 0.909 0.749 0.911
O1 0.129 0.324 0.634
O2 0.871 0.676 0.366
O3 0.371 0.824 0.866
O4 0.629 0.176 0.134
La1 0.232 0.011 0.733
La2 0.768 0.989 0.267
La3 0.268 0.511 0.767
La4 0.732 0.489 0.233
La5 0.367 0.251 0.368
La6 0.633 0.749 0.632
La7 0.133 0.751 0.132
La8 0.867 0.249 0.868
La9 0.535 0.775 0.038
La10 0.465 0.225 0.962
La11 0.965 0.275 0.462
La12 0.035 0.725 0.538

Final energy: -116.394 eV per cell
Symmetry: P2_1/c
Density of states at the Fermi level: 0.792 states/eV per atom

(4)
This record from Alexandria via LeMat-Bulk describes crystalline La3AlO at its relaxed geometry. The functional is PBE.

abc: 7.034 3.959 10.452
angles: 79.08 76.00 73.64
Sites, in units of the cell vectors:
Al1 0.634 0.521 0.568
Al2 0.155 0.500 0.089
O1 0.102 0.199 0.744
O2 0.922 0.411 0.501
La1 0.915 0.995 0.341
La2 0.313 0.230 0.473
La3 0.851 0.208 0.978
La4 0.394 0.010 0.830
La5 0.954 0.805 0.681
La6 0.478 0.791 0.185

Final energy: -58.726 eV per cell
Symmetry: Cm
Density of states at the Fermi level: 0.884 states/eV per atom

(5)
This record from Alexandria via LeMat-Bulk describes crystalline La3AlO at its relaxed geometry. The functional is PBE.

abc: 10.542 5.436 5.436
angles: 91.73 104.49 104.48
Each line ends with the local moment (μB).
Sites, in units of the cell vectors:
Al1 0.289 0.239 0.560  0.00
Al2 0.289 0.739 0.060  0.00
O1 0.926 0.808 0.629  0.00
O2 0.926 0.307 0.128  0.00
La1 0.474 0.831 0.653  0.00
La2 0.474 0.332 0.153  0.00
La3 0.801 0.995 0.316  0.07
La4 0.084 0.637 0.458  0.05
La5 0.801 0.495 0.816  0.07
La6 0.084 0.137 0.958  0.05

Final energy: -59.109 eV per cell
Symmetry: Pmm2
Density of states at the Fermi level: 1.004 states/eV per atom

(6)
This record from Alexandria via LeMat-Bulk describes crystalline La3AlO at its relaxed geometry. The functional is PBE.

abc: 9.652 7.050 6.540
angles: 62.86 115.23 136.61
Sites, in units of the cell vectors:
Al1 0.441 0.026 0.231
Al2 0.216 0.981 0.444
O1 0.722 0.617 0.629
O2 0.815 0.001 0.845
La1 0.467 0.570 0.651
La2 0.632 0.151 0.817
La3 0.723 0.677 0.250
La4 0.161 0.434 0.031
La5 0.935 0.330 0.444
La6 0.033 0.880 0.868

Final energy: -59.103 eV per cell
Symmetry: P1
Density of states at the Fermi level: 0.899 states/eV per atom

Number 1: formation energy without anion corrections -5.58 eV per formula unit. Number 2: formation energy without anion corrections -48.02 eV per formula unit. Number 3: formation energy without anion corrections -5.62 eV per formula unit. Number 4: formation energy without anion corrections -5.88 eV per formula unit. Number 5: formation energy without anion corrections -6.07 eV per formula unit. Number 6: formation energy without anion corrections -6.07 eV per formula unit.